MgCd2As | Alexandria | PBE | relaxed; crystal system = monoclinic; Fermi-level density of states = 0.14 states/eV per atom; formation energy from the elements = -0.14 eV per atom; ρ = 5.864 Mg/m³; DFT total energy = -8.64 eV/cell
1.0
-1.491 2.749 -1.705
-2.451 0.661 3.209
3.086 4.199 4.072
Cd Mg As
2 1 1
direct
0.000 0.795 0.034
0.500 0.202 0.225
0.000 0.524 0.574
0.500 0.978 0.667



Mg4Cd2As | Alexandria | PBE | relaxed; crystal system = tetragonal; Fermi-level density of states = 0.44 states/eV per atom; formation energy from the elements = 0.07 eV per atom; ρ = 3.511 Mg/m³; DFT total energy = -12.39 eV/cell
1.0
-0.505 4.379 -2.336
-4.177 -1.643 -2.176
-6.393 3.993 3.542
Mg As Cd
4 1 2
direct
0.500 0.000 0.000
0.819 0.819 0.362
0.000 0.500 0.000
0.181 0.181 0.638
0.000 0.000 0.000
0.631 0.631 0.738
0.369 0.369 0.262



MgCd2As | Alexandria | PBE | relaxed; crystal system = tetragonal; Fermi-level density of states = 0.24 states/eV per atom; formation energy from the elements = -0.02 eV per atom; ρ = 6.193 Mg/m³; DFT total energy = -8.16 eV/cell
1.0
3.142 0.078 0.000
-0.083 3.142 0.000
0.000 0.000 8.795
Cd Mg As
2 1 1
direct
0.500 0.500 0.262
0.000 0.000 0.999
0.000 0.000 0.516
0.500 0.500 0.724



MgCd2As | Alexandria | PBE | relaxed; crystal system = monoclinic; Fermi-level density of states = 0.38 states/eV per atom; formation energy from the elements = -0.02 eV per atom; ρ = 6.175 Mg/m³; DFT total energy = -8.15 eV/cell
1.0
5.138 0.061 -0.055
4.124 3.064 -0.055
0.904 0.305 5.614
As Cd Mg
1 2 1
direct
0.766 0.766 0.709
0.242 0.242 0.243
0.993 0.993 0.029
0.499 0.499 0.519